Model a:
# GGA-PBE Pm3Ga2Pd7, optimized geometry
# Total magnetization, μB per cell: 0.000
# N(E_F), states/eV per cell: 3.51
data_Pm3Ga2Pd7
_cell_length_a 4.071
_cell_length_b 4.182
_cell_length_c 14.868
_cell_angle_alpha 98.08
_cell_angle_beta 90.00
_cell_angle_gamma 90.00
_symmetry_space_group_name_H-M 'P 1'
_symmetry_Int_Tables_number 1
loop_
_symmetry_equiv_pos_as_xyz
'x,y,z'
loop_
_atom_site_label
_atom_site_fract_x
_atom_site_fract_y
_atom_site_fract_z
Pm1 0.500 0.299 0.598
Pd1 0.000 0.212 0.423
Pd2 0.000 0.630 0.261
Pd3 0.500 0.133 0.265
Pm2 0.500 0.500 0.000
Pd4 0.000 0.788 0.577
Pm3 0.500 0.701 0.402
Ga1 0.000 0.083 0.166
Pd5 0.500 0.867 0.735
Pd6 0.000 0.000 0.000
Pd7 0.000 0.370 0.739
Ga2 0.000 0.917 0.834


Model b:
# GGA-PBE Pm3Ga2Pd7, optimized geometry
# Total magnetization, μB per cell: 0.000
# N(E_F), states/eV per cell: 6.22
data_Pm3Ga2Pd7
_cell_length_a 4.087
_cell_length_b 4.217
_cell_length_c 13.841
_cell_angle_alpha 98.74
_cell_angle_beta 90.00
_cell_angle_gamma 90.00
_symmetry_space_group_name_H-M 'P 1'
_symmetry_Int_Tables_number 1
loop_
_symmetry_equiv_pos_as_xyz
'x,y,z'
loop_
_atom_site_label
_atom_site_fract_x
_atom_site_fract_y
_atom_site_fract_z
Ga1 0.500 0.631 0.262
Ga2 0.500 0.369 0.738
Pd1 0.500 0.080 0.160
Pd2 0.500 0.279 0.559
Pm1 0.000 0.181 0.362
Pm2 0.500 0.500 0.000
Pd3 0.000 0.422 0.842
Pd4 0.000 0.000 0.000
Pd5 0.500 0.721 0.441
Pd6 0.000 0.578 0.158
Pm3 0.000 0.819 0.638
Pd7 0.500 0.920 0.840


Computed relative energies in units of eV/atom: model a 0.134; model b 0.000


Model a:
# GGA-PBE Pm4GaPd, optimized geometry
# Total magnetization, μB per cell: 0.000
# N(E_F), states/eV per cell: 14.24
data_Pm4GaPd
_cell_length_a 6.256
_cell_length_b 6.978
_cell_length_c 8.434
_cell_angle_alpha 90.00
_cell_angle_beta 109.78
_cell_angle_gamma 90.00
_symmetry_space_group_name_H-M 'P 1'
_symmetry_Int_Tables_number 1
loop_
_symmetry_equiv_pos_as_xyz
'x,y,z'
loop_
_atom_site_label
_atom_site_fract_x
_atom_site_fract_y
_atom_site_fract_z
Pm1 0.593 0.250 0.891
Pm2 0.997 0.001 0.264
Ga1 0.793 0.750 0.949
Pm3 0.003 0.501 0.736
Pm4 0.407 0.750 0.109
Pm5 0.997 0.499 0.264
Pd1 0.238 0.250 0.561
Pm6 0.427 0.750 0.602
Pm7 0.003 0.999 0.736
Pm8 0.573 0.250 0.398
Ga2 0.207 0.250 0.051
Pd2 0.762 0.750 0.439


Model b:
# GGA-PBE Pm4GaPd, optimized geometry
# Total magnetization, μB per cell: 0.000
# N(E_F), states/eV per cell: 7.82
data_Pm4GaPd
_cell_length_a 4.962
_cell_length_b 4.963
_cell_length_c 7.340
_cell_angle_alpha 89.91
_cell_angle_beta 89.95
_cell_angle_gamma 90.00
_symmetry_space_group_name_H-M 'P 1'
_symmetry_Int_Tables_number 1
loop_
_symmetry_equiv_pos_as_xyz
'x,y,z'
loop_
_atom_site_label
_atom_site_fract_x
_atom_site_fract_y
_atom_site_fract_z
Pm1 0.001 0.497 0.252
Ga1 0.501 0.497 0.998
Pm2 0.501 0.997 0.252
Pm3 0.002 0.498 0.745
Pd1 0.001 0.997 0.498
Pm4 0.502 0.998 0.745


Computed relative energies in units of eV/atom: model a 0.000; model b 0.104


Model a:
# GGA-PBE Pm2GaPd6, optimized geometry
# Total magnetization, μB per cell: 0.000
# N(E_F), states/eV per cell: 3.32
data_Pm2GaPd6
_cell_length_a 3.780
_cell_length_b 7.737
_cell_length_c 7.673
_cell_angle_alpha 120.27
_cell_angle_beta 104.29
_cell_angle_gamma 90.00
_symmetry_space_group_name_H-M 'P 1'
_symmetry_Int_Tables_number 1
loop_
_symmetry_equiv_pos_as_xyz
'x,y,z'
loop_
_atom_site_label
_atom_site_fract_x
_atom_site_fract_y
_atom_site_fract_z
Pd1 0.500 0.213 0.000
Pd2 0.836 0.044 0.672
Ga1 0.000 0.000 0.000
Pd3 0.164 0.956 0.328
Pd4 0.164 0.372 0.328
Pm1 0.350 0.349 0.699
Pd5 0.836 0.628 0.672
Pm2 0.650 0.651 0.301
Pd6 0.500 0.787 0.000


Model b:
# GGA-PBE Pm2GaPd6, optimized geometry
# Total magnetization, μB per cell: 0.000
# N(E_F), states/eV per cell: 3.10
data_Pm2GaPd6
_cell_length_a 5.760
_cell_length_b 5.728
_cell_length_c 6.125
_cell_angle_alpha 77.83
_cell_angle_beta 90.00
_cell_angle_gamma 120.18
_symmetry_space_group_name_H-M 'P 1'
_symmetry_Int_Tables_number 1
loop_
_symmetry_equiv_pos_as_xyz
'x,y,z'
loop_
_atom_site_label
_atom_site_fract_x
_atom_site_fract_y
_atom_site_fract_z
Ga1 0.000 0.000 0.000
Pd1 0.872 0.264 0.686
Pd2 0.392 0.264 0.686
Pd3 0.125 0.250 0.305
Pm1 0.357 0.714 0.836
Pd4 0.608 0.736 0.314
Pd5 0.875 0.750 0.695
Pm2 0.643 0.286 0.164
Pd6 0.128 0.736 0.314


Computed relative energies in units of eV/atom: model a 0.274; model b 0.000


Model a:
# GGA-PBE Pm2Ga3Pd, optimized geometry
# Total magnetization, μB per cell: 0.000
# N(E_F), states/eV per cell: 6.96
data_Pm2Ga3Pd
_cell_length_a 5.856
_cell_length_b 5.856
_cell_length_c 8.628
_cell_angle_alpha 106.48
_cell_angle_beta 106.48
_cell_angle_gamma 99.44
_symmetry_space_group_name_H-M 'P 1'
_symmetry_Int_Tables_number 1
loop_
_symmetry_equiv_pos_as_xyz
'x,y,z'
loop_
_atom_site_label
_atom_site_fract_x
_atom_site_fract_y
_atom_site_fract_z
Ga1 0.834 0.333 0.167
Pm1 0.250 0.750 0.500
Pm2 0.262 0.262 0.000
Ga2 0.667 0.166 0.833
Pm3 0.738 0.738 0.000
Ga3 0.166 0.667 0.833
Pm4 0.750 0.250 0.500
Pd1 0.332 0.332 0.663
Ga4 0.333 0.834 0.167
Pd2 0.668 0.668 0.337
Ga5 0.165 0.165 0.330
Ga6 0.835 0.835 0.670


Model b:
# GGA-PBE Pm2Ga3Pd, optimized geometry
# Total magnetization, μB per cell: 0.000
# N(E_F), states/eV per cell: 3.62
data_Pm2Ga3Pd
_cell_length_a 4.511
_cell_length_b 5.720
_cell_length_c 5.866
_cell_angle_alpha 79.27
_cell_angle_beta 67.39
_cell_angle_gamma 66.78
_symmetry_space_group_name_H-M 'P 1'
_symmetry_Int_Tables_number 1
loop_
_symmetry_equiv_pos_as_xyz
'x,y,z'
loop_
_atom_site_label
_atom_site_fract_x
_atom_site_fract_y
_atom_site_fract_z
Ga1 0.162 0.774 0.901
Pm1 0.542 0.212 0.704
Pd1 0.165 0.387 0.282
Ga2 0.841 0.611 0.707
Pm2 0.454 0.793 0.299
Ga3 0.835 0.223 0.108


Computed relative energies in units of eV/atom: model a 0.005; model b 0.000